PmNd12Sc6 | PBE | optimized geometry Values from VASP.

Geometry as Quantum ESPRESSO input:
```
&SYSTEM
  ibrav = 0, nat = 19, ntyp = 3
/
ATOMIC_SPECIES
Sc 44.96 Sc.upf
Nd 144.24 Nd.upf
Pm 145.00 Pm.upf
ATOMIC_POSITIONS crystal
Sc 0.363 0.500 0.863
Nd 0.270 0.469 0.199
Nd 0.730 0.531 0.801
Nd 0.929 0.199 0.730
Sc 0.500 0.863 0.363
Nd 0.469 0.199 0.270
Nd 0.071 0.801 0.270
Sc 0.863 0.363 0.500
Nd 0.531 0.801 0.730
Nd 0.801 0.730 0.531
Nd 0.270 0.071 0.801
Sc 0.500 0.137 0.637
Sc 0.637 0.500 0.137
Nd 0.199 0.270 0.469
Nd 0.730 0.929 0.199
Nd 0.801 0.270 0.071
Pm 0.000 0.000 0.000
Sc 0.137 0.637 0.500
Nd 0.199 0.730 0.929
CELL_PARAMETERS angstrom
-7.435 -1.890 -5.191
7.415 0.972 -5.465
1.447 -6.938 5.963
```

Summary:
**Volume**: 32.20 A^3/atom
**DFT formation energy**: 4.42 eV per formula unit
**Total moment**: 0.00 μB/f.u.
**Space-group type**: Im-3, No. 204
**DOS(E_F)**: 32.87 states/eV/cell
**Crystal system**: cubic


Pm2Nd6Sc3 | PBE | optimized geometry Values from VASP.

Geometry as Quantum ESPRESSO input:
```
&SYSTEM
  ibrav = 0, nat = 11, ntyp = 3
/
ATOMIC_SPECIES
Nd 144.24 Nd.upf
Pm 145.00 Pm.upf
Sc 44.96 Sc.upf
ATOMIC_POSITIONS crystal
Nd 0.733 0.097 0.815
Nd 0.816 0.717 0.545
Pm 0.646 0.466 0.087
Sc 0.448 0.183 0.639
Nd 0.097 0.640 0.726
Nd 0.184 0.283 0.455
Nd 0.903 0.360 0.274
Nd 0.267 0.903 0.185
Pm 0.354 0.534 0.913
Sc 0.552 0.817 0.361
Sc 0.000 0.000 0.000
CELL_PARAMETERS angstrom
-0.582 4.947 3.593
-6.410 -3.980 2.641
-5.337 -1.626 13.570
```

Summary:
**Volume**: 31.88 A^3/atom
**DFT formation energy**: 0.54 eV per formula unit
**Total moment**: 0.00 μB/f.u.
**Space-group type**: P-1, No. 2
**DOS(E_F)**: 15.71 states/eV/cell
**Crystal system**: triclinic


Pm3Nd6Sc | PBE | optimized geometry Values from VASP.

Geometry as Quantum ESPRESSO input:
```
&SYSTEM
  ibrav = 0, nat = 20, ntyp = 3
/
ATOMIC_SPECIES
Pm 145.00 Pm.upf
Nd 144.24 Nd.upf
Sc 44.96 Sc.upf
ATOMIC_POSITIONS crystal
Pm 0.956 0.054 0.286
Nd 0.056 0.374 0.291
Nd 0.868 0.947 0.529
Nd 0.647 0.277 0.723
Nd 0.868 0.471 0.053
Sc 0.118 0.197 0.803
Pm 0.578 0.617 0.383
Nd 0.556 0.291 0.374
Nd 0.368 0.053 0.471
Nd 0.368 0.529 0.947
Nd 0.382 0.960 0.040
Pm 0.456 0.286 0.054
Pm 0.456 0.946 0.714
Nd 0.056 0.709 0.626
Nd 0.147 0.723 0.277
Pm 0.078 0.383 0.617
Nd 0.882 0.040 0.960
Pm 0.956 0.714 0.946
Sc 0.618 0.803 0.197
Nd 0.556 0.626 0.709
CELL_PARAMETERS angstrom
-5.722 2.598 1.401
-3.323 -9.667 4.353
5.013 7.621 6.343
```

Summary:
**Volume**: 34.23 A^3/atom
**DFT formation energy**: 1.37 eV per formula unit
**Total moment**: 0.00 μB/f.u.
**Space-group type**: Cmc2_1, No. 36
**DOS(E_F)**: 26.03 states/eV/cell
**Relative energy among the computed polymorphs**: 0.000 eV per atom
**Crystal system**: orthorhombic


PmNd12Sc3 | PBE | optimized geometry Values from VASP.

Geometry as Quantum ESPRESSO input:
```
&SYSTEM
  ibrav = 0, nat = 16, ntyp = 3
/
ATOMIC_SPECIES
Nd 144.24 Nd.upf
Pm 145.00 Pm.upf
Sc 44.96 Sc.upf
ATOMIC_POSITIONS crystal
Nd 0.000 0.500 0.870
Nd 0.500 0.000 0.377
Pm 0.000 0.000 0.000
Sc 0.000 0.000 0.747
Nd 0.500 0.500 0.500
Nd 0.500 0.500 0.254
Nd 0.000 0.500 0.623
Nd 0.000 0.500 0.377
Nd 0.500 0.000 0.130
Sc 0.000 0.000 0.500
Sc 0.000 0.000 0.253
Nd 0.500 0.000 0.870
Nd 0.500 0.500 0.746
Nd 0.500 0.000 0.623
Nd 0.500 0.500 0.000
Nd 0.000 0.500 0.130
CELL_PARAMETERS angstrom
-5.033 0.716 -0.223
-0.494 -4.305 -2.667
-2.255 -10.457 17.298
```

Summary:
**Volume**: 32.91 A^3/atom
**DFT formation energy**: 0.54 eV per formula unit
**Total moment**: 0.00 μB/f.u.
**Space-group type**: P4/mmm, No. 123
**DOS(E_F)**: 23.04 states/eV/cell
**Crystal system**: tetragonal


PmNd6Sc4 | PBE | optimized geometry Values from VASP.

Geometry as Quantum ESPRESSO input:
```
&SYSTEM
  ibrav = 0, nat = 11, ntyp = 3
/
ATOMIC_SPECIES
Nd 144.24 Nd.upf
Sc 44.96 Sc.upf
Pm 145.00 Pm.upf
ATOMIC_POSITIONS crystal
Nd 0.000 0.937 0.469
Nd 0.000 0.531 0.469
Nd 0.500 0.184 0.816
Sc 0.500 0.842 0.683
Sc 0.500 0.317 0.158
Nd 0.500 0.633 0.816
Sc 0.000 0.333 0.667
Nd 0.000 0.531 0.063
Nd 0.500 0.184 0.367
Sc 0.500 0.842 0.158
Pm 0.000 0.000 0.000
CELL_PARAMETERS angstrom
-3.146 0.142 -1.497
-3.029 -8.750 5.537
-1.543 9.828 4.176
```

Summary:
**Volume**: 31.95 A^3/atom
**DFT formation energy**: 1.76 eV per formula unit
**Total moment**: 0.00 μB/f.u.
**Space-group type**: P-6m2, No. 187
**DOS(E_F)**: 17.56 states/eV/cell
**Crystal system**: hexagonal


Pm6Nd3Sc | PBE | optimized geometry Values from VASP.

Geometry as Quantum ESPRESSO input:
```
&SYSTEM
  ibrav = 0, nat = 20, ntyp = 3
/
ATOMIC_SPECIES
Pm 145.00 Pm.upf
Nd 144.24 Nd.upf
Sc 44.96 Sc.upf
ATOMIC_POSITIONS crystal
Pm 0.382 0.960 0.040
Nd 0.957 0.054 0.286
Pm 0.369 0.530 0.948
Pm 0.882 0.040 0.960
Pm 0.557 0.290 0.375
Pm 0.869 0.470 0.052
Sc 0.618 0.803 0.197
Pm 0.057 0.710 0.625
Pm 0.144 0.724 0.276
Nd 0.576 0.617 0.383
Pm 0.869 0.948 0.530
Pm 0.369 0.052 0.470
Nd 0.457 0.286 0.054
Pm 0.644 0.276 0.724
Nd 0.957 0.714 0.946
Pm 0.557 0.625 0.710
Pm 0.057 0.375 0.290
Sc 0.118 0.197 0.803
Nd 0.457 0.946 0.714
Nd 0.076 0.383 0.617
CELL_PARAMETERS angstrom
6.425 0.000 0.000
0.000 10.947 -1.688
0.000 -4.088 10.294
```

Summary:
**Volume**: 33.98 A^3/atom
**DFT formation energy**: 1.38 eV per formula unit
**Total moment**: 0.00 μB/f.u.
**Space-group type**: Cmc2_1, No. 36
**DOS(E_F)**: 26.37 states/eV/cell
**Relative energy among the computed polymorphs**: 0.000 eV per atom
**Crystal system**: orthorhombic


Pm3Nd8Sc2 | PBE | optimized geometry Values from VASP.

Geometry as Quantum ESPRESSO input:
```
&SYSTEM
  ibrav = 0, nat = 13, ntyp = 3
/
ATOMIC_SPECIES
Nd 144.24 Nd.upf
Pm 145.00 Pm.upf
Sc 44.96 Sc.upf
ATOMIC_POSITIONS crystal
Nd 0.329 0.430 0.920
Pm 0.000 0.244 0.756
Nd 0.671 0.080 0.570
Sc 0.646 0.713 0.713
Pm 0.000 0.756 0.244
Sc 0.354 0.287 0.287
Nd 0.793 0.447 0.447
Nd 0.943 0.156 0.156
Nd 0.329 0.920 0.430
Nd 0.671 0.570 0.080
Nd 0.057 0.844 0.844
Pm 0.500 0.000 0.000
Nd 0.207 0.553 0.553
CELL_PARAMETERS angstrom
6.031 0.314 1.339
1.971 8.467 1.490
0.837 -0.708 8.751
```

Summary:
**Volume**: 33.60 A^3/atom
**DFT formation energy**: 2.03 eV per formula unit
**Total moment**: 0.00 μB/f.u.
**Space-group type**: C2/m, No. 12
**DOS(E_F)**: 22.95 states/eV/cell
**Relative energy among the computed polymorphs**: 0.000 eV per atom
**Crystal system**: monoclinic


PmNd6Sc2 | PBE | optimized geometry Values from VASP.

Geometry as Quantum ESPRESSO input:
```
&SYSTEM
  ibrav = 0, nat = 18, ntyp = 3
/
ATOMIC_SPECIES
Nd 144.24 Nd.upf
Sc 44.96 Sc.upf
Pm 145.00 Pm.upf
ATOMIC_POSITIONS crystal
Nd 0.066 0.955 0.740
Sc 0.631 0.397 0.235
Sc 0.131 0.235 0.397
Nd 0.434 0.260 0.045
Nd 0.605 0.772 0.495
Nd 0.846 0.365 0.782
Nd 0.154 0.635 0.218
Pm 0.750 0.955 0.045
Nd 0.934 0.045 0.260
Nd 0.566 0.740 0.955
Sc 0.369 0.603 0.765
Pm 0.250 0.045 0.955
Sc 0.869 0.765 0.603
Nd 0.105 0.495 0.772
Nd 0.895 0.505 0.228
Nd 0.654 0.218 0.635
Nd 0.395 0.228 0.505
Nd 0.346 0.782 0.365
CELL_PARAMETERS angstrom
11.814 -0.189 2.912
2.170 6.832 1.767
0.706 -1.685 7.153
```

Summary:
**Volume**: 32.80 A^3/atom
**DFT formation energy**: 1.61 eV per formula unit
**Total moment**: 0.00 μB/f.u.
**Space-group type**: C2/c, No. 15
**DOS(E_F)**: 28.13 states/eV/cell
**Relative energy among the computed polymorphs**: 0.000 eV per atom
**Crystal system**: monoclinic


Pm5Nd4Sc2 | PBE | optimized geometry Values from VASP.

Geometry as Quantum ESPRESSO input:
```
&SYSTEM
  ibrav = 0, nat = 11, ntyp = 3
/
ATOMIC_SPECIES
Pm 145.00 Pm.upf
Sc 44.96 Sc.upf
Nd 144.24 Nd.upf
ATOMIC_POSITIONS crystal
Pm 0.842 0.055 0.684
Pm 0.158 0.945 0.316
Sc 0.731 0.731 0.461
Sc 0.269 0.269 0.539
Nd 0.598 0.598 0.196
Pm 0.842 0.629 0.684
Nd 0.000 0.705 0.000
Pm 0.500 0.000 0.000
Pm 0.158 0.371 0.316
Nd 0.402 0.402 0.804
Nd 0.000 0.295 0.000
CELL_PARAMETERS angstrom
-0.832 -3.198 -1.115
8.644 -0.827 -4.077
0.165 -2.366 12.116
```

Summary:
**Volume**: 34.19 A^3/atom
**DFT formation energy**: 2.92 eV per formula unit
**Total moment**: 0.00 μB/f.u.
**Space-group type**: Immm, No. 71
**DOS(E_F)**: 15.82 states/eV/cell
**Relative energy among the computed polymorphs**: 0.155 eV per atom
**Crystal system**: orthorhombic


PmNd9Sc2 | PBE | optimized geometry Values from VASP.

Geometry as Quantum ESPRESSO input:
```
&SYSTEM
  ibrav = 0, nat = 12, ntyp = 3
/
ATOMIC_SPECIES
Nd 144.24 Nd.upf
Sc 44.96 Sc.upf
Pm 145.00 Pm.upf
ATOMIC_POSITIONS crystal
Nd 0.000 0.500 0.173
Nd 0.500 0.000 0.173
Sc 0.000 0.000 0.664
Sc 0.000 0.000 0.336
Nd 0.500 0.500 0.000
Nd 0.000 0.500 0.827
Nd 0.000 0.500 0.500
Nd 0.500 0.500 0.337
Nd 0.500 0.000 0.827
Pm 0.000 0.000 0.000
Nd 0.500 0.000 0.500
Nd 0.500 0.500 0.663
CELL_PARAMETERS angstrom
-0.608 4.426 -2.455
-4.787 0.300 1.725
4.937 7.549 12.388
```

Summary:
**Volume**: 33.18 A^3/atom
**DFT formation energy**: 0.41 eV per formula unit
**Total moment**: 0.00 μB/f.u.
**Space-group type**: P4/mmm, No. 123
**DOS(E_F)**: 19.41 states/eV/cell
**Crystal system**: tetragonal


Pm6NdSc6 | PBE | optimized geometry Values from VASP.

Geometry as Quantum ESPRESSO input:
```
&SYSTEM
  ibrav = 0, nat = 13, ntyp = 3
/
ATOMIC_SPECIES
Pm 145.00 Pm.upf
Sc 44.96 Sc.upf
Nd 144.24 Nd.upf
ATOMIC_POSITIONS crystal
Pm 0.000 0.000 0.669
Pm 0.289 0.711 0.500
Sc 0.500 0.000 0.770
Sc 0.500 0.500 0.715
Nd 0.000 0.000 0.000
Sc 0.500 0.500 0.285
Pm 0.647 0.353 0.000
Sc 0.500 0.000 0.230
Pm 0.711 0.289 0.500
Pm 0.353 0.647 0.000
Sc 0.000 0.500 0.230
Sc 0.000 0.500 0.770
Pm 0.000 0.000 0.331
CELL_PARAMETERS angstrom
-0.252 -0.985 6.320
5.648 -1.072 -2.816
2.823 10.341 1.725
```

Summary:
**Volume**: 30.68 A^3/atom
**DFT formation energy**: 2.58 eV per formula unit
**Total moment**: 0.07 μB/f.u.
**Space-group type**: Cmmm, No. 65
**DOS(E_F)**: 25.20 states/eV/cell
**Crystal system**: orthorhombic


Pm6NdSc2 | PBE | optimized geometry Values from VASP.

Geometry as Quantum ESPRESSO input:
```
&SYSTEM
  ibrav = 0, nat = 18, ntyp = 3
/
ATOMIC_SPECIES
Pm 145.00 Pm.upf
Sc 44.96 Sc.upf
Nd 144.24 Nd.upf
ATOMIC_POSITIONS crystal
Pm 0.757 0.243 0.331
Pm 0.732 0.732 0.500
Sc 0.500 0.500 0.336
Pm 0.243 0.757 0.669
Pm 0.243 0.757 0.331
Pm 0.232 0.768 0.000
Pm 0.743 0.743 0.169
Pm 0.768 0.232 0.000
Nd 0.500 0.500 0.000
Pm 0.268 0.268 0.500
Nd 0.000 0.000 0.500
Pm 0.743 0.743 0.831
Pm 0.757 0.243 0.669
Sc 0.000 0.000 0.164
Pm 0.257 0.257 0.831
Sc 0.000 0.000 0.836
Pm 0.257 0.257 0.169
Sc 0.500 0.500 0.664
CELL_PARAMETERS angstrom
8.046 0.000 0.000
0.000 8.046 0.000
0.000 0.000 10.390
```

Summary:
**Volume**: 37.37 A^3/atom
**DFT formation energy**: 5.19 eV per formula unit
**Total moment**: 0.00 μB/f.u.
**Space-group type**: P4_2/mnm, No. 136
**DOS(E_F)**: 26.18 states/eV/cell
**Relative energy among the computed polymorphs**: 0.395 eV per atom
**Crystal system**: tetragonal


Q: DFT formation energy of number 8 (PmNd6Sc2)?
A: 1.61 eV per formula unit